# TbPrNi | the Open Quantum Materials Database | PBE | optimized geometry
data_TbPrNi
_symmetry_space_group_name_H-M 'F -4 3 m'
_symmetry_Int_Tables_number 216
_symmetry_space_group_name_Hall 'F -4 2 3'
_cell_length_a 6.844
_cell_length_b 6.844
_cell_length_c 6.844
_cell_angle_alpha 90.00
_cell_angle_beta 90.00
_cell_angle_gamma 90.00
loop_
_atom_site_label
_atom_site_type_symbol
_atom_site_fract_x
_atom_site_fract_y
_atom_site_fract_z
Tb1 Tb 0.000 0.000 0.000
Pr1 Pr 0.000 0.000 0.500
Ni1 Ni 0.250 0.250 0.750
# - Volume: 321 Å³/cell
# - Crystal system: cubic
# - Formation enthalpy at 0 K: -0.08 eV/atom
# - E_tot: -5.066 eV/atom
# - ΔE to the lowest computed polymorph: 0 meV/atom
# - Magnetization: 0.0 μB/f.u.

***

# TbPr2Ni9 | the Open Quantum Materials Database | PBE | optimized geometry
data_TbPr2Ni9
_symmetry_space_group_name_H-M 'R -3 m'
_symmetry_Int_Tables_number 166
_symmetry_space_group_name_Hall '-R 3 2"'
_cell_length_a 4.9826
_cell_length_b 4.9826
_cell_length_c 24.7507
_cell_angle_alpha 90.00
_cell_angle_beta 90.00
_cell_angle_gamma 120.00
loop_
_atom_site_label
_atom_site_type_symbol
_atom_site_fract_x
_atom_site_fract_y
_atom_site_fract_z
Tb1 Tb 0.0000 0.0000 0.0000
Pr1 Pr 0.0000 0.0000 0.1383
Ni1 Ni 0.0000 0.0000 0.3327
Ni2 Ni 0.0000 0.0000 0.5000
Ni3 Ni 0.0012 0.5006 0.0796
# - Volume: 532 Å³/cell
# - Crystal system: trigonal
# - Formation enthalpy at 0 K: -0.32 eV/atom
# - E_tot: -5.678 eV/atom
# - Magnetization: 0.6 μB/f.u.

***

# Tb2PrTl3Ni3 | the Open Quantum Materials Database | PBE | optimized geometry
data_Tb2PrTl3Ni3
_symmetry_space_group_name_H-M 'A m m 2'
_symmetry_Int_Tables_number 38
_symmetry_space_group_name_Hall 'A 2 -2'
_cell_length_a 3.825
_cell_length_b 13.186
_cell_length_c 7.623
_cell_angle_alpha 90.00
_cell_angle_beta 90.00
_cell_angle_gamma 90.00
loop_
_atom_site_label
_atom_site_type_symbol
_atom_site_fract_x
_atom_site_fract_y
_atom_site_fract_z
Tb1 Tb 0.000 0.204 0.000
Pr1 Pr 0.000 0.000 0.385
Tl1 Tl 0.500 0.000 0.049
Tl2 Tl 0.500 0.132 0.668
Ni1 Ni 0.000 0.000 0.795
Ni2 Ni 0.500 0.169 0.294
# - Volume: 384 Å³/cell
# - Crystal system: orthorhombic
# - E_tot: -4.539 eV/atom
# - Magnetization: 0.0 μB/f.u.

***

# TbPrTlNi2 | the Open Quantum Materials Database | PBE | optimized geometry
data_TbPrTlNi2
_symmetry_space_group_name_H-M 'A m m 2'
_symmetry_Int_Tables_number 38
_symmetry_space_group_name_Hall 'A 2 -2'
_cell_length_a 3.753
_cell_length_b 3.974
_cell_length_c 14.714
_cell_angle_alpha 90.00
_cell_angle_beta 90.00
_cell_angle_gamma 90.00
loop_
_atom_site_label
_atom_site_type_symbol
_atom_site_fract_x
_atom_site_fract_y
_atom_site_fract_z
Tb1 Tb 0.000 0.000 0.000
Pr1 Pr 0.000 0.000 0.724
Tl1 Tl 0.500 0.000 0.365
Ni1 Ni 0.500 0.000 0.154
Ni2 Ni 0.500 0.000 0.559
# - Volume: 219 Å³/cell
# - Crystal system: orthorhombic
# - E_tot: -5.005 eV/atom
# - Magnetization: 0.0 μB/f.u.

***

# PrTlNiTe3 | the Open Quantum Materials Database | PBE | optimized geometry
data_PrTlNiTe3
_symmetry_space_group_name_H-M 'C m c m'
_symmetry_Int_Tables_number 63
_symmetry_space_group_name_Hall '-C 2c 2'
_cell_length_a 4.230
_cell_length_b 15.724
_cell_length_c 11.640
_cell_angle_alpha 90.00
_cell_angle_beta 90.00
_cell_angle_gamma 90.00
loop_
_atom_site_label
_atom_site_type_symbol
_atom_site_fract_x
_atom_site_fract_y
_atom_site_fract_z
Pr1 Pr 0.000 0.000 0.000
Tl1 Tl 0.000 0.254 0.250
Ni1 Ni 0.000 0.474 0.750
Te1 Te 0.000 0.071 0.750
Te2 Te 0.000 0.365 0.587
# - Volume: 774 Å³/cell
# - Crystal system: orthorhombic
# - E_tot: -4.340 eV/atom
# - ΔE to the lowest computed polymorph: 9 meV/atom
# - Magnetization: 0.0 μB/f.u.

***

# PrTlNiTe3 | the Open Quantum Materials Database | PBE | optimized geometry
data_PrTlNiTe3
_symmetry_space_group_name_H-M 'P n m a'
_symmetry_Int_Tables_number 62
_symmetry_space_group_name_Hall '-P 2ac 2n'
_cell_length_a 12.753
_cell_length_b 4.327
_cell_length_c 12.932
_cell_angle_alpha 90.00
_cell_angle_beta 90.00
_cell_angle_gamma 90.00
loop_
_atom_site_label
_atom_site_type_symbol
_atom_site_fract_x
_atom_site_fract_y
_atom_site_fract_z
Pr1 Pr 0.042 0.250 0.190
Tl1 Tl 0.195 0.250 0.501
Ni1 Ni 0.236 0.750 0.314
Te1 Te 0.042 0.750 0.366
Te2 Te 0.101 0.250 0.935
Te3 Te 0.210 0.750 0.724
# - Volume: 714 Å³/cell
# - Crystal system: orthorhombic
# - E_tot: -4.350 eV/atom
# - ΔE to the lowest computed polymorph: 0 meV/atom
# - Magnetization: 0.0 μB/f.u.